# CaCrIO2, relaxed, DFT GGA+U
# Polymorph energy (0 for the lowest one)   46.8 kJ/mol of atoms
# M_tot   6.38 μB/cell
# Energy   -4.7846 eV per atom
data_CaCrIO2
_chemical_formula_sum 'Ca1 Cr1 I1 O2'
_space_group_name_H-M_alt 'P 4/m m m'
_space_group_IT_number 123
_space_group_name_Hall '-P 4 2'
_cell_length_a 4.372
_cell_length_b 4.372
_cell_length_c 6.551
_cell_angle_alpha 90.00
_cell_angle_beta 90.00
_cell_angle_gamma 90.00
loop_
_atom_site_label
_atom_site_fract_x
_atom_site_fract_y
_atom_site_fract_z
_atom_site_occupancy
Ca1 0.000 0.000 0.000 1
Cr1 0.500 0.500 0.500 1
I1 0.000 0.000 0.500 1
O1 0.000 0.500 0.000 1